## Er2Cu2P3 (GGA-PBE)

Data for a geometry-optimized Er2Cu2P3 structure.

Results
As for the crystal system: monoclinic. For the density, the calculation gives 7.45 g cm⁻³. Its formation energy is -951 meV per atom. Its total magnetization is 0.00 μB/cell.

Unit cell a=14.377 b=3.928 c=10.825 alpha=90.00 beta=126.08 gamma=90.00
Space group C2/m (No. 12)
Symmetry-distinct sites (fractional):
1 Er 0.105 0.000 0.442 x4
2 Er 0.237 0.000 0.841 x4
3 Cu 0.048 0.500 0.817 x4
4 Cu 0.088 0.000 0.155 x4
5 P 0.078 0.500 0.623 x4
6 P 0.115 0.000 0.964 x4
7 P 0.161 0.500 0.312 x4

=====

## Nd12Sm5Y2 (GGA-PBE)

Data for a geometry-optimized Nd12Sm5Y2 structure.

Results
As for the crystal system: monoclinic. For the density, the calculation gives 6.63 g cm⁻³. Its formation energy is 167 meV per atom. Its total magnetization is 0.00 μB/cell.

Unit cell a=18.594 b=7.141 c=10.753 alpha=90.00 beta=110.94 gamma=90.00
Space group C2/m (No. 12)
Symmetry-distinct sites (fractional):
1 Nd 0.000 0.000 0.174 x4
2 Nd 0.030 0.500 0.753 x4
3 Nd 0.160 0.254 0.371 x8
4 Nd 0.167 0.247 0.030 x8
5 Sm 0.000 0.500 0.000 x2
6 Sm 0.174 0.000 0.710 x4
7 Sm 0.187 0.500 0.684 x4
8 Y 0.000 0.232 0.500 x4

=====

## RbY3Cl (GGA-PBE)

Data for a geometry-optimized RbY3Cl structure.

Results
For the uncorrected formation energy, the calculation gives 0.031 eV per atom. As for the crystal system: cubic. For the density, the calculation gives 3.82 g cm⁻³. Its total magnetization is 1.23 μB/cell.

Unit cell a=5.525 b=5.525 c=5.525 alpha=90.00 beta=90.00 gamma=90.00
Space group Pm-3m (No. 221)
Symmetry-distinct sites (fractional):
1 Rb 0.000 0.000 0.000 x1
2 Y 0.000 0.500 0.500 x3
3 Cl 0.500 0.500 0.500 x1

=====

## HgAsOs2 (GGA-PBE)

Data for a geometry-optimized HgAsOs2 structure.

Results
As for the crystal system: monoclinic. For the density, the calculation gives 16.42 g cm⁻³. Its formation energy is 746 meV per atom. Its total magnetization is 0.00 μB/cell.

Unit cell a=2.996 b=3.997 c=5.719 alpha=90.00 beta=104.40 gamma=90.00
Space group P2/m (No. 10)
Symmetry-distinct sites (fractional):
1 Hg 0.000 0.000 0.000 x1
2 As 0.500 0.000 0.500 x1
3 Os 0.356 0.500 0.714 x2

=====

## ErTlSn4 (GGA-PBE)

Data for a geometry-optimized ErTlSn4 structure.

Results
As for the crystal system: cubic. For the density, the calculation gives 8.28 g cm⁻³. Its formation energy is -99 meV per atom. Its total magnetization is 0.00 μB/cell.

Unit cell a=8.791 b=8.791 c=8.791 alpha=90.00 beta=90.00 gamma=90.00
Space group F-43m (No. 216)
Symmetry-distinct sites (fractional):
1 Er 0.000 0.000 0.000 x4
2 Tl 0.250 0.250 0.250 x4
3 Sn 0.125 0.125 0.625 x16

=====

## YNpAg2O6 (GGA-PBE)

Data for a geometry-optimized YNpAg2O6 structure.

Results
For the uncorrected formation energy, the calculation gives -2.036 eV per atom. As for the crystal system: monoclinic. For the density, the calculation gives 7.41 g cm⁻³. Its total magnetization is 0.00 μB/cell.

Unit cell a=5.782 b=5.921 c=10.130 alpha=90.00 beta=124.53 gamma=90.00
Space group P2_1/c (No. 14)
Symmetry-distinct sites (fractional):
1 Y 0.000 0.000 0.000 x2
2 Np 0.500 0.000 0.500 x2
3 Ag 0.255 0.024 0.753 x4
4 O 0.168 0.034 0.264 x4
5 O 0.263 0.685 0.051 x4
6 O 0.372 0.212 0.050 x4

=====

## TaMoOs3 (GGA-PBE)

Data for a geometry-optimized TaMoOs3 structure.

Results
As for the crystal system: cubic. For the density, the calculation gives 14.20 g cm⁻³. Its formation energy is 2089 meV per atom. Its total magnetization is 0.00 μB/cell.

Unit cell a=4.627 b=4.627 c=4.627 alpha=90.00 beta=90.00 gamma=90.00
Space group Pm-3m (No. 221)
Symmetry-distinct sites (fractional):
1 Ta 0.000 0.000 0.000 x1
2 Mo 0.500 0.500 0.500 x1
3 Os 0.000 0.500 0.500 x3

=====

## Mg2H3Cl (GGA-PBE)

Data for a geometry-optimized Mg2H3Cl structure.

Results
As for the crystal system: orthorhombic. For the density, the calculation gives 1.88 g cm⁻³. As for the total energy: -36.47 eV/cell. Its total magnetization is 0.00 μB/cell.

Unit cell a=3.220 b=6.279 c=7.604 alpha=90.00 beta=90.00 gamma=90.00
Space group Amm2 (No. 38)
Symmetry-distinct sites (fractional):
1 Mg 0.000 0.000 0.000 x2
2 Mg 0.500 0.000 0.428 x2
3 H 0.000 0.192 0.456 x4
4 H 0.500 0.000 0.161 x2
5 Cl 0.500 0.000 0.756 x2

=====

## NbPtN2 (GGA-PBE)

Data for a geometry-optimized NbPtN2 structure.

Results
For the uncorrected formation energy, the calculation gives -0.266 eV per atom. As for the crystal system: trigonal. For the density, the calculation gives 10.06 g cm⁻³. Its total magnetization is 0.00 μB/cell.

Unit cell a=3.0983 b=3.0983 c=18.8289 alpha=90.00 beta=90.00 gamma=120.00
Space group R-3m (No. 166, hexagonal axes)
Symmetry-distinct sites (fractional):
1 Nb 0.0000 0.0000 0.0000 x3
2 Pt 0.0000 0.0000 0.5000 x3
3 N 0.0000 0.0000 0.3932 x6

=====

## AcCuSiN (GGA-PBE)

Data for a geometry-optimized AcCuSiN structure.

Results
For the uncorrected formation energy, the calculation gives -0.827 eV per atom. As for the crystal system: tetragonal. For the density, the calculation gives 8.08 g cm⁻³. Its total magnetization is 0.00 μB/cell.

Unit cell a=4.000 b=4.000 c=8.543 alpha=90.00 beta=90.00 gamma=90.00
Space group P4/nmm (No. 129, origin choice 2)
Symmetry-distinct sites (fractional):
1 Ac 0.250 0.250 0.165 x2
2 Cu 0.250 0.750 0.500 x2
3 Si 0.250 0.250 0.654 x2
4 N 0.250 0.250 0.863 x2

=====

## SiNiPb2 (GGA-PBE)

Data for a geometry-optimized SiNiPb2 structure.

Results
For the uncorrected formation energy, the calculation gives 0.447 eV per atom. As for the crystal system: orthorhombic. For the density, the calculation gives 9.66 g cm⁻³. Its total magnetization is 0.00 μB/cell.

Unit cell a=4.685 b=4.695 c=7.835 alpha=90.00 beta=90.00 gamma=90.00
Space group Cmmm (No. 65)
Symmetry-distinct sites (fractional):
1 Si 0.000 0.000 0.000 x2
2 Ni 0.000 0.000 0.500 x2
3 Pb 0.000 0.500 0.284 x4

=====

## Cs6Rb8Sr (GGA-PBE)

Data for a geometry-optimized Cs6Rb8Sr structure.

Results
As for the crystal system: trigonal. For the density, the calculation gives 1.75 g cm⁻³. Its formation energy is 61 meV per atom. Its total magnetization is 0.00 μB/cell.

Unit cell a=13.3134 b=13.3134 c=9.6785 alpha=90.00 beta=90.00 gamma=120.00
Space group P-3 (No. 147)
Symmetry-distinct sites (fractional):
1 Cs 0.0958 0.6635 0.1603 x6
2 Rb 0.0480 0.7774 0.6693 x6
3 Rb 0.3333 0.6667 0.6363 x2
4 Sr 0.0000 0.0000 0.0000 x1